First-principles (PBE) data for crystalline SmDy3Cl at its relaxed geometry, as listed in the Open Quantum Materials Database.

VASP energy	-4.526	eV per atom
crystal system	cubic

Cell lengths 5.290, 5.290, 5.290 Å; angles 90.00, 90.00, 90.00 degrees
Space group Pm-3m (No. 221)
Unique sites:
Sm: 0.000 0.000 0.000 (multiplicity 1)
Dy: 0.000 0.500 0.500 (multiplicity 3)
Cl: 0.500 0.500 0.500 (multiplicity 1)


First-principles (PBE) data for crystalline SrHgPd at its relaxed geometry, as listed in the Open Quantum Materials Database.

VASP energy	-2.498	eV per atom
crystal system	cubic

Cell lengths 7.216, 7.216, 7.216 Å; angles 90.00, 90.00, 90.00 degrees
Space group F-43m (No. 216)
Unique sites:
Sr: 0.000 0.000 0.000 (multiplicity 4)
Hg: 0.250 0.250 0.750 (multiplicity 4)
Pd: 0.250 0.250 0.250 (multiplicity 4)


First-principles (PBE) data for crystalline DySnB4 at its relaxed geometry, as listed in the Open Quantum Materials Database.

VASP energy	-5.954	eV per atom
crystal system	orthorhombic

Cell lengths 3.213, 5.324, 8.309 Å; angles 90.00, 90.00, 90.00 degrees
Space group Immm (No. 71)
Unique sites:
Dy: 0.000 0.000 0.000 (multiplicity 2)
Sn: 0.000 0.000 0.500 (multiplicity 2)
B: 0.000 0.328 0.260 (multiplicity 8)